# 1
# BaHf2Zr (PBE, optimized geometry)
# size of the total moment	0.15	μB/cell
# E_tot	-6.84	eV/atom
# space-group type	F-43m (216)
data_BaHf2Zr
_cell_length_a 5.290
_cell_length_b 5.290
_cell_length_c 5.290
_cell_angle_alpha 60.00
_cell_angle_beta 60.00
_cell_angle_gamma 60.00
_space_group_name_H-M_alt 'P 1'
_space_group_IT_number 1
loop_
_space_group_symop_operation_xyz
'x,y,z'
loop_
_atom_site_label
_atom_site_type_symbol
_atom_site_fract_x
_atom_site_fract_y
_atom_site_fract_z
_atom_site_occupancy
Hf1 Hf 0.250 0.250 0.250 1
Hf2 Hf 0.000 0.000 0.000 1
Zr1 Zr 0.750 0.750 0.750 1
Ba1 Ba 0.500 0.500 0.500 1



# 2
# Co15Bi (PBE, optimized geometry)
# size of the total moment	37.92	μB/cell
# E_tot	-6.77	eV/atom
# space-group type	P2_1/m (11)
data_Co15Bi
_cell_length_a 4.961
_cell_length_b 3.481
_cell_length_c 33.558
_cell_angle_alpha 90.00
_cell_angle_beta 90.00
_cell_angle_gamma 90.00
_space_group_name_H-M_alt 'P 1'
_space_group_IT_number 1
loop_
_space_group_symop_operation_xyz
'x,y,z'
loop_
_atom_site_label
_atom_site_type_symbol
_atom_site_fract_x
_atom_site_fract_y
_atom_site_fract_z
_atom_site_occupancy
Co1 Co 0.625 0.250 0.727 1
Co2 Co 0.124 0.250 0.166 1
Co3 Co 0.375 0.750 0.129 1
Co4 Co 0.374 0.750 0.834 1
Co5 Co 0.375 0.750 0.761 1
Co6 Co 0.626 0.250 0.166 1
Co7 Co 0.125 0.250 0.945 1
Co8 Co 0.875 0.750 0.982 1
Co9 Co 0.375 0.750 0.055 1
Bi1 Bi 0.875 0.750 0.296 1
Co10 Co 0.375 0.750 0.908 1
Co11 Co 0.876 0.750 0.834 1
Co12 Co 0.125 0.250 0.092 1
Co13 Co 0.875 0.750 0.055 1
Co14 Co 0.625 0.250 0.239 1
Bi2 Bi 0.125 0.250 0.704 1
Co15 Co 0.625 0.250 0.797 1
Co16 Co 0.375 0.750 0.982 1
Co17 Co 0.375 0.750 0.203 1
Co18 Co 0.625 0.250 0.092 1
Co19 Co 0.875 0.750 0.908 1
Co20 Co 0.625 0.250 0.018 1
Co21 Co 0.875 0.750 0.129 1
Co22 Co 0.875 0.750 0.202 1
Co23 Co 0.876 0.750 0.761 1
Co24 Co 0.625 0.250 0.945 1
Co25 Co 0.125 0.250 0.798 1
Co26 Co 0.125 0.250 0.018 1
Co27 Co 0.375 0.750 0.273 1
Co28 Co 0.625 0.250 0.871 1
Co29 Co 0.125 0.250 0.871 1
Co30 Co 0.124 0.250 0.239 1



# 3
# CsNpCuSe3 (PBE, optimized geometry)
# size of the total moment	6.01	μB/cell
# E_tot	-5.71	eV/atom
# space-group type	Cmcm (63)
data_CsNpCuSe3
_cell_length_a 8.254
_cell_length_b 8.254
_cell_length_c 10.689
_cell_angle_alpha 90.00
_cell_angle_beta 90.00
_cell_angle_gamma 150.90
_space_group_name_H-M_alt 'P 1'
_space_group_IT_number 1
loop_
_space_group_symop_operation_xyz
'x,y,z'
loop_
_atom_site_label
_atom_site_type_symbol
_atom_site_fract_x
_atom_site_fract_y
_atom_site_fract_z
_atom_site_occupancy
Se1 Se 0.884 0.116 0.056 1
Se2 Se 0.116 0.884 0.944 1
Cs1 Cs 0.241 0.759 0.250 1
Se3 Se 0.884 0.116 0.444 1
Cs2 Cs 0.759 0.241 0.750 1
Se4 Se 0.116 0.884 0.556 1
Se5 Se 0.445 0.555 0.750 1
Se6 Se 0.555 0.445 0.250 1
Cu1 Cu 0.034 0.966 0.750 1
Np1 Np 0.500 0.500 0.000 1
Cu2 Cu 0.966 0.034 0.250 1
Np2 Np 0.500 0.500 0.500 1



# 4
# LaHoFe2Si2 (PBE, optimized geometry)
# size of the total moment	0.02	μB/cell
# E_tot	-6.77	eV/atom
# space-group type	P4mm (99)
data_LaHoFe2Si2
_cell_length_a 4.051
_cell_length_b 4.051
_cell_length_c 6.757
_cell_angle_alpha 90.00
_cell_angle_beta 90.00
_cell_angle_gamma 90.00
_space_group_name_H-M_alt 'P 1'
_space_group_IT_number 1
loop_
_space_group_symop_operation_xyz
'x,y,z'
loop_
_atom_site_label
_atom_site_type_symbol
_atom_site_fract_x
_atom_site_fract_y
_atom_site_fract_z
_atom_site_occupancy
Si1 Si 0.500 0.500 0.826 1
Fe1 Fe 0.000 0.500 0.992 1
Fe2 Fe 0.500 0.000 0.992 1
Ho1 Ho 0.000 0.000 0.699 1
Si2 Si 0.000 0.000 0.162 1
La1 La 0.500 0.500 0.328 1